Entry 1:
Here is Mg3BiN after structural relaxation from Alexandria. Energies are from PBE.

Unit cell a=5.4741 b=6.0796 c=6.3803 alpha=90.00 beta=97.51 gamma=90.00
With the nearest neighbours (Å) after each atom.
Element x y z (fractional)
1 Mg 0.6634 0.2500 0.6319  1 N 2.04
2 Mg 0.2651 0.4992 0.9291  2 N 2.07-2.10
3 Mg 0.2651 0.0008 0.9291  2 N 2.07-2.10
4 Mg 0.7349 0.9992 0.0709  2 N 2.07-2.10
5 Mg 0.3366 0.7500 0.3681  1 N 2.04
6 Mg 0.7349 0.5008 0.0709  2 N 2.07-2.10
7 Bi 0.8805 0.7500 0.6499  8 Mg 2.99-3.27
8 Bi 0.1195 0.2500 0.3501  8 Mg 2.99-3.27
9 N 0.5203 0.2500 0.9115  5 Mg 2.04-2.10
10 N 0.4797 0.7500 0.0885  5 Mg 2.04-2.10

Summary:
- N(E_F): 0.029 states/eV/atom
- E_form (uncorrected): -0.329 eV per atom

=====

Entry 2:
Here is TlPbAu after structural relaxation from Alexandria. Energies are from PBE.

Unit cell a=6.4997 b=3.8757 c=7.3616 alpha=106.27 beta=105.73 gamma=71.66
With the nearest neighbours (Å) after each atom.
Element x y z (fractional)
1 Au 0.1259 0.7329 0.4130  1 Au 2.87, 3 Pb 2.96-2.98, 4 Tl 3.07-3.18
2 Au 0.2143 0.4872 0.0294  1 Au 2.87, 3 Pb 2.96-2.98, 4 Tl 3.07-3.18
3 Tl 0.8494 0.2128 0.0982  4 Au 3.07-3.18
4 Tl 0.4908 0.0074 0.3441  4 Au 3.07-3.18
5 Pb 0.9182 0.4598 0.6400  3 Au 2.96-2.98
6 Pb 0.4220 0.7604 0.8025  3 Au 2.96-2.98

Summary:
- Energy of formation from the pure elements: -52 meV per atom
- N(E_F): 0.478 states/eV/atom

=====

Entry 3:
Here is CeYTlBi after structural relaxation from Alexandria. Energies are from PBE.

Unit cell a=5.4939 b=5.4939 c=5.4939 alpha=60.00 beta=60.00 gamma=60.00
With the nearest neighbours (Å) after each atom.
Element x y z (fractional)
1 Y 0.0000 0.0000 0.0000  4 Bi 3.36, 4 Tl 3.36
2 Ce 0.5000 0.5000 0.5000  4 Tl 3.36, 4 Bi 3.36
3 Bi 0.2500 0.2500 0.2500  4 Ce 3.36, 4 Y 3.36
4 Tl 0.7500 0.7500 0.7500  4 Ce 3.36, 4 Y 3.36

Summary:
- Energy of formation from the pure elements: -412 meV per atom
- N(E_F): 2.299 states/eV/atom

=====

Entry 4:
Here is UPaTcW after structural relaxation from Alexandria. Energies are from PBE.

Unit cell a=4.7362 b=4.7362 c=4.7362 alpha=60.00 beta=60.00 gamma=60.00
With the nearest neighbours (Å) after each atom.
Element x y z (fractional)
1 U 0.2500 0.2500 0.2500  4 W 2.90, 4 Pa 2.90
2 W 0.5000 0.5000 0.5000  4 U 2.90, 4 Tc 2.90
3 Pa 0.0000 0.0000 0.0000  4 Tc 2.90, 4 U 2.90
4 Tc 0.7500 0.7500 0.7500  4 Pa 2.90, 4 W 2.90

Summary:
- Energy of formation from the pure elements: 157 meV per atom
- N(E_F): 1.809 states/eV/atom

=====

Entry 5:
Here is CuAg4Os after structural relaxation from Alexandria. Energies are from PBE.

Unit cell a=5.3172 b=5.3172 c=5.3172 alpha=60.00 beta=60.00 gamma=60.00
With the nearest neighbours (Å) after each atom.
Element x y z (fractional)
1 Ag 0.3749 0.8752 0.3749  6 Ag 2.66
2 Ag 0.3749 0.3749 0.3749  6 Ag 2.66
3 Ag 0.3749 0.3749 0.8752  6 Ag 2.66
4 Ag 0.8752 0.3749 0.3749  6 Ag 2.66
5 Os 0.0000 0.0000 0.0000  12 Ag 3.12, 4 Cu 3.26
6 Cu 0.7500 0.7500 0.7500  12 Ag 3.12, 4 Os 3.26

Summary:
- Energy of formation from the pure elements: 905 meV per atom
- N(E_F): 1.030 states/eV/atom

=====

Entry 6:
Here is CaYGaRh after structural relaxation from Alexandria. Energies are from PBE.

Unit cell a=4.0841 b=4.0699 c=6.0115 alpha=90.00 beta=109.86 gamma=90.00
With the nearest neighbours (Å) after each atom.
Element x y z (fractional)
1 Rh 0.4246 0.0000 0.8492  2 Ga 2.57
2 Y 0.8612 0.5000 0.7223  4 Rh 2.97, 2 Ga 3.07
3 Ca 0.1507 0.0000 0.3013  4 Ga 3.05, 3 Rh 3.10-3.27
4 Ga 0.5635 0.5000 0.1271  2 Rh 2.57

Summary:
- Energy of formation from the pure elements: -621 meV per atom
- N(E_F): 0.717 states/eV/atom